Er2U2Se7 | GGA-PBE | relaxed

Cell and atoms, written as POSCAR:
```
Er2U2Se7
1.0
4.8107 0.0000 0.0000
0.0000 4.8107 0.0000
0.0000 0.0000 13.5547
Er U Se
2 2 7
Direct
0.0000 0.5000 0.1382
0.5000 0.0000 0.8618
0.0000 0.5000 0.6254
0.5000 0.0000 0.3746
0.0000 0.0000 0.2348
0.0000 0.0000 0.5000
0.0000 0.0000 0.7652
0.5000 0.5000 0.0000
0.5000 0.5000 0.2567
0.5000 0.5000 0.5000
0.5000 0.5000 0.7433
```

- crystal system = tetragonal



OsPdRu | GGA-PBE | relaxed

Cell and atoms, written as POSCAR:
```
OsPdRu
1.0
2.7357 0.0000 0.0000
-1.3678 2.3691 0.0000
0.0000 0.0000 6.7408
Os Pd Ru
1 1 1
Direct
0.0000 0.0000 0.0000
0.3333 0.6667 0.6533
0.6667 0.3333 0.3060
```

- DFT formation energy (eV/atom) = 0.12
- crystal system = trigonal



SrCoCl2 | GGA-PBE | relaxed

Cell and atoms, written as POSCAR:
```
SrCoCl2
1.0
3.5535 0.0000 0.0000
0.0000 3.5535 0.0000
0.0000 0.0000 11.0729
Sr Co Cl
1 1 2
Direct
0.0000 0.0000 0.0000
0.0000 0.0000 0.5000
0.5000 0.5000 0.1474
0.5000 0.5000 0.8526
```

- crystal system = tetragonal



LuNi4Ge | GGA-PBE | relaxed

Cell and atoms, written as POSCAR:
```
LuNi4Ge
1.0
0.0000 3.4400 3.4400
3.4400 0.0000 3.4400
3.4400 3.4400 0.0000
Lu Ni Ge
1 4 1
Direct
0.0000 0.0000 0.0000
0.1266 0.6245 0.6245
0.6245 0.1266 0.6245
0.6245 0.6245 0.1266
0.6245 0.6245 0.6245
0.2500 0.2500 0.2500
```

- DFT formation energy (eV/atom) = -0.37
- crystal system = cubic



AlAgH | GGA-PBE | relaxed

Cell and atoms, written as POSCAR:
```
AlAgH
1.0
5.5455 -1.4295 0.0000
5.5455 1.4295 0.0000
-2.8382 0.0000 5.0224
Al Ag H
2 2 2
Direct
0.2173 0.2173 0.1706
0.7827 0.7827 0.8294
0.4916 0.4916 0.2436
0.5084 0.5084 0.7564
0.2294 0.2294 0.6199
0.7706 0.7706 0.3801
```

- crystal system = monoclinic



BaSi2I2 | GGA-PBE | relaxed

Cell and atoms, written as POSCAR:
```
BaSi2I2
1.0
-1.9181 1.9181 13.5226
1.9181 -1.9181 13.5226
1.9181 1.9181 -13.5226
Ba Si I
1 2 2
Direct
0.0000 0.0000 0.0000
0.2500 0.7500 0.5000
0.7500 0.2500 0.5000
0.4206 0.4206 0.0000
0.5794 0.5794 0.0000
```

- crystal system = tetragonal



InSiCl | GGA-PBE | relaxed

Cell and atoms, written as POSCAR:
```
InSiCl
1.0
4.5413 0.0000 0.0000
2.2678 3.9478 0.0000
1.5713 1.2160 5.2264
In Si Cl
1 1 1
Direct
0.0000 0.0000 0.0000
0.3219 0.3132 0.0662
0.3274 0.1817 0.4899
```

- crystal system = triclinic



HoTaN2 | GGA-PBE | relaxed

Cell and atoms, written as POSCAR:
```
HoTaN2
1.0
5.6601 0.0000 0.0000
0.0000 3.2355 0.0000
0.0000 0.0000 10.9740
Ho Ta N
4 4 8
Direct
0.0889 0.2500 0.1364
0.4111 0.7500 0.6364
0.5889 0.2500 0.3636
0.9111 0.7500 0.8636
0.0832 0.7500 0.3873
0.4168 0.2500 0.8873
0.5832 0.7500 0.1127
0.9168 0.2500 0.6127
0.1601 0.2500 0.7566
0.2454 0.2500 0.4962
0.2546 0.7500 0.9962
0.3399 0.7500 0.2566
0.6601 0.2500 0.7434
0.7454 0.2500 0.0038
0.7546 0.7500 0.5038
0.8399 0.7500 0.2434
```

- crystal system = orthorhombic



Total DFT energy (no corrections) values (in eV/atom) by entry order: -6.408; -8.446; -3.743; -5.745; -3.108; -3.509; -3.520; -9.736.
Total moment values (in μB per cell) by entry order: 4.00; 0.00; 2.34; 0.00; 0.00; 0.00; 0.00; 0.00.
Volume values (in Å³ per atom) by entry order: 28.5; 14.6; 35.0; 13.6; 13.3; 39.8; 31.2; 12.6.